The following is a PBE calculation of crystalline TbErGeAu at its relaxed geometry, from Alexandria.

a = 4.042 Å, b = 4.310 Å, c = 5.816 Å
α = 90.00°, β = 110.33°, γ = 90.00°
Atoms (fractional coordinates):
Ge  0.587  0.500  0.173
Er  0.138  0.000  0.276
Au  0.416  0.000  0.831
Tb  0.860  0.500  0.719

Summary:
Polymorph energy (0 for the lowest one) in eV per formula unit: 0.00